Entry from Alexandria via LeMat-Bulk: a geometry-optimized ZrAlIO2 structure (PBE-GGA).

Geometry as POSCAR:
```
ZrAlIO2
1.0
4.1961 0.0000 0.0000
0.0000 4.1961 0.0000
0.0000 0.0000 6.0783
I O Al Zr
1 2 1 1
Cartesian
0.0000 0.0000 3.0392
0.0000 2.0981 0.0000
2.0981 0.0000 0.0000
2.0981 2.0981 3.0392
0.0000 0.0000 0.0000
```

## Properties
ΔE_f (raw): -6.83 eV/f.u.
Space group: P4/mmm
Spin magnetization: 0.0 μB/cell